# 1
VASP calculation (GGA-PBE) on a geometry-optimized ScAgF2 structure.

Geometry as extended XYZ:
```
4
Lattice="-3.920 -1.610 -0.808 -3.139 0.391 2.933 -3.316 2.661 -0.731" Properties=species:S:1:pos:R:3 pbc="T T T"
Sc 0.000 0.000 0.000
Ag -5.187 0.721 0.697
F -2.593 0.361 0.349
F -7.780 1.082 1.046
```

Output
Space-group type   Fm-3m (225)
Energy above the most stable polymorph in this dataset   619 meV per atom
Magnetization   0.0 μB/cell
ΔE_f (raw)   -1.574 eV/atom

# 2
VASP calculation (GGA-PBE) on a geometry-optimized Sc2AgF structure.

Geometry as extended XYZ:
```
4
Lattice="1.924 0.000 8.582 -0.962 1.666 8.582 -0.962 -1.666 8.582" Properties=species:S:1:pos:R:3 pbc="T T T"
Sc 0.000 0.000 23.717
Sc 0.000 0.000 2.028
Ag 0.000 0.000 12.873
F 0.000 0.000 0.000
```

Output
Space-group type   R-3m (166)
Energy above the most stable polymorph in this dataset   0 meV per atom
Magnetization   0.4 μB/cell
ΔE_f (raw)   -1.132 eV/atom

# 3
VASP calculation (GGA-PBE) on a geometry-optimized ScAg3F structure.

Geometry as extended XYZ:
```
5
Lattice="5.309 0.000 0.000 0.000 5.309 0.000 0.000 0.000 5.309" Properties=species:S:1:pos:R:3 pbc="T T T"
Sc 0.000 0.000 0.000
Ag 0.000 2.654 0.000
Ag 0.000 0.000 2.654
Ag 2.654 0.000 0.000
F 2.654 2.654 2.654
```

Output
Space-group type   Pm-3m (221)
Energy above the most stable polymorph in this dataset   736 meV per atom
Magnetization   1.0 μB/cell
ΔE_f (raw)   0.734 eV/atom

# 4
VASP calculation (GGA-PBE) on a geometry-optimized ScAgF2 structure.

Geometry as extended XYZ:
```
4
Lattice="-5.558 -5.422 0.719 -2.884 -6.976 1.956 -4.650 -4.911 3.882" Properties=species:S:1:pos:R:3 pbc="T T T"
Sc 0.000 0.000 0.000
Ag -6.546 -8.654 3.278
F -11.956 -15.808 5.988
F -1.135 -1.501 0.569
```

Output
Space-group type   R-3m (166)
Energy above the most stable polymorph in this dataset   498 meV per atom
Magnetization   0.0 μB/cell
ΔE_f (raw)   -1.695 eV/atom

# 5
VASP calculation (GGA-PBE) on a geometry-optimized ScAg2F5 structure.

Geometry as extended XYZ:
```
8
Lattice="4.435 0.000 1.489 2.217 3.986 0.745 0.263 0.000 6.565" Properties=species:S:1:pos:R:3 pbc="T T T"
Sc 3.457 1.993 4.399
Ag 4.918 1.993 7.396
Ag 1.996 1.993 1.403
F 2.969 3.278 5.852
F 3.945 3.278 2.946
F 1.240 1.993 3.655
F 3.945 0.708 2.946
F 2.969 0.708 5.852
```

Output
Space-group type   Fmmm (69)
Magnetization   0.0 μB/cell
ΔE_f (raw)   -2.303 eV/atom

# 6
VASP calculation (GGA-PBE) on a geometry-optimized ScAg2F2 structure.

Geometry as extended XYZ:
```
5
Lattice="-2.559 2.344 -0.653 -2.352 -2.141 1.533 -1.126 3.409 7.102" Properties=species:S:1:pos:R:3 pbc="T T T"
Sc 0.000 0.000 0.000
Ag -3.070 2.927 3.445
Ag -2.967 0.684 4.537
F -2.253 0.604 1.454
F -3.784 3.006 6.528
```

Output
Space-group type   I4/mmm (139)
Energy above the most stable polymorph in this dataset   887 meV per atom
Magnetization   1.0 μB/cell
ΔE_f (raw)   -0.962 eV/atom

# 7
VASP calculation (GGA-PBE) on a geometry-optimized ScAg4F6 structure.

Geometry as extended XYZ:
```
22
Lattice="-3.977 -5.688 0.317 5.386 -3.627 2.472 -2.004 1.791 6.991" Properties=species:S:1:pos:R:3 pbc="T T T"
Sc 0.704 -4.658 1.395
Sc -1.002 0.895 3.496
Ag -1.146 -2.101 2.216
Ag 1.392 -1.808 6.880
Ag 0.551 -5.424 7.565
Ag -2.989 -4.822 6.397
Ag -2.147 -1.205 5.711
Ag 2.394 -2.703 3.384
Ag -1.987 -5.717 2.901
Ag 1.553 -6.320 4.070
F 2.685 -3.875 5.774
F 0.229 -6.625 1.762
F -1.220 -4.312 0.755
F 0.019 -0.743 4.208
F -0.461 0.412 1.610
F 0.164 -4.175 3.280
F 2.629 -5.004 2.035
F -1.542 1.378 5.381
F 1.180 -2.690 1.027
F -0.759 -3.350 6.501
F -0.614 -6.782 5.573
F -3.279 -3.650 4.007
```

Output
Space-group type   P4/mnc (128)
Magnetization   0.0 μB/cell
ΔE_f (raw)   -1.782 eV/atom

# 8
VASP calculation (GGA-PBE) on a geometry-optimized ScAgSeF2 structure.

Geometry as extended XYZ:
```
5
Lattice="-3.363 -2.257 0.118 0.277 -0.203 4.037 -3.051 4.569 0.440" Properties=species:S:1:pos:R:3 pbc="T T T"
Sc 0.000 0.000 0.000
Se -1.525 2.285 0.220
Ag -3.068 1.055 2.297
F 0.139 -0.102 2.019
F -1.681 -1.128 0.059
```

Output
Space-group type   P4/mmm (123)
Magnetization   0.0 μB/cell
ΔE_f (raw)   -2.320 eV/atom

# 9
VASP calculation (GGA-PBE) on a geometry-optimized ScSi2AgF structure.

Geometry as extended XYZ:
```
5
Lattice="-3.216 0.032 3.283 1.067 -5.331 1.097 3.162 1.268 3.085" Properties=species:S:1:pos:R:3 pbc="T T T"
Sc 0.533 -2.666 0.549
Si 1.581 0.634 1.543
Si -1.608 0.016 1.642
Ag 0.000 0.000 0.000
F 0.506 -2.016 3.733
```

Output
Space-group type   P4/mmm (123)
Magnetization   0.0 μB/cell
ΔE_f (raw)   0.342 eV/atom

# 10
VASP calculation (GGA-PBE) on a geometry-optimized Sc3Tl2AgF12 structure.

Geometry as extended XYZ:
```
18
Lattice="7.550 -0.166 -0.118 3.584 6.647 -0.118 3.584 2.086 6.312" Properties=species:S:1:pos:R:3 pbc="T T T"
Sc 3.775 -0.083 -0.059
Sc 1.792 3.323 -0.059
Sc 1.792 1.043 3.156
Tl 9.360 5.449 3.865
Tl 5.358 3.119 2.212
Ag 0.000 0.000 0.000
F 6.440 3.749 5.708
F 11.263 6.556 2.370
F 9.392 7.619 5.404
F 8.942 2.328 1.651
F 11.263 4.404 5.404
F 6.440 6.626 1.651
F 8.278 4.819 0.369
F 3.456 2.011 3.706
F 5.326 0.949 0.673
F 5.776 6.240 4.426
F 3.456 4.163 0.673
F 8.278 1.941 4.426
```

Output
Space-group type   R-3m (166)
Magnetization   0.1 μB/cell
ΔE_f (raw)   -3.161 eV/atom

# 11
VASP calculation (GGA-PBE) on a geometry-optimized ScTl2AgF structure.

Geometry as extended XYZ:
```
5
Lattice="5.064 0.000 0.000 0.000 4.574 0.000 0.000 0.000 5.064" Properties=species:S:1:pos:R:3 pbc="T T T"
Sc 2.532 2.287 2.532
Tl 0.000 0.000 2.532
Tl 2.532 0.000 0.000
Ag 0.000 2.287 0.000
F 0.000 0.000 0.000
```

Output
Space-group type   P4/mmm (123)
Magnetization   0.0 μB/cell
ΔE_f (raw)   -0.296 eV/atom